Dy3Ge2Se | PBE-GGA | optimized geometry

Lattice parameters (Å, degrees): 9.2243 9.2243 9.2243 154.16 154.16 36.86
Sites, in units of the cell vectors:
Dy1 0.0000 0.0000 0.0000
Dy2 0.3332 0.3332 0.0000
Dy3 0.6668 0.6668 0.0000
Ge1 0.1645 0.1645 0.0000
Ge2 0.8355 0.8355 0.0000
Se1 0.5000 0.5000 0.0000

Calculated values
total magnetization = 0.00 μB per cell
energy relative to the elements, uncorrected = -1.16 eV per atom

Dy8GeSe6 | PBE-GGA | optimized geometry

Lattice parameters (Å, degrees): 10.4090 10.4090 4.0591 90.00 90.00 120.00
Sites, in units of the cell vectors:
Dy1 0.0315 0.7234 0.2555
Dy2 0.2766 0.3081 0.2555
Dy3 0.3081 0.0315 0.7445
Dy4 0.3333 0.6667 0.7474
Dy5 0.6667 0.3333 0.2526
Dy6 0.6919 0.9685 0.2555
Dy7 0.7234 0.6919 0.7445
Dy8 0.9685 0.2766 0.7445
Ge1 0.0000 0.0000 0.5000
Se1 0.1294 0.4802 0.2495
Se2 0.3508 0.8706 0.2495
Se3 0.4802 0.3508 0.7505
Se4 0.5198 0.6492 0.2495
Se5 0.6492 0.1294 0.7505
Se6 0.8706 0.5198 0.7505

Calculated values
total magnetization = 0.00 μB per cell
energy relative to the elements, uncorrected = -1.30 eV per atom

Dy4SiGeSe2 | PBE-GGA | optimized geometry

Lattice parameters (Å, degrees): 7.1457 7.1457 7.1457 132.06 132.06 70.14
Sites, in units of the cell vectors:
Dy1 0.2453 0.2453 0.0000
Dy2 0.5033 0.0033 0.5000
Dy3 0.7547 0.7547 0.0000
Dy4 0.9967 0.4967 0.5000
Si1 0.0000 0.0000 0.0000
Ge1 0.7500 0.2500 0.5000
Se1 0.2500 0.7500 0.5000
Se2 0.5000 0.5000 0.0000

Calculated values
total magnetization = 0.00 μB per cell
energy relative to the elements, uncorrected = -1.37 eV per atom

Dy6SiGe2Se3 | PBE-GGA | optimized geometry

Lattice parameters (Å, degrees): 9.2500 9.2500 8.2818 103.60 103.60 25.75
Sites, in units of the cell vectors:
Dy1 0.0024 0.0024 0.2411
Dy2 0.3309 0.3309 0.4239
Dy3 0.3367 0.3367 0.9106
Dy4 0.6633 0.6633 0.0894
Dy5 0.6691 0.6691 0.5761
Dy6 0.9976 0.9976 0.7589
Si1 0.5000 0.5000 0.0000
Ge1 0.1666 0.1666 0.3330
Ge2 0.8334 0.8334 0.6670
Se1 0.1668 0.1668 0.8332
Se2 0.5000 0.5000 0.5000
Se3 0.8332 0.8332 0.1668

Calculated values
total magnetization = 0.00 μB per cell
energy relative to the elements, uncorrected = -1.36 eV per atom

SmDyGeSe | PBE-GGA | optimized geometry

Lattice parameters (Å, degrees): 7.2737 7.2737 7.2737 33.33 33.33 33.33
Sites, in units of the cell vectors:
Sm1 0.0000 0.0000 0.0000
Dy1 0.4924 0.4924 0.4924
Ge1 0.7479 0.7479 0.7479
Se1 0.2438 0.2438 0.2438

Calculated values
total magnetization = 0.00 μB per cell
energy relative to the elements, uncorrected = -1.39 eV per atom

Dy4SnGeSe2 | PBE-GGA | optimized geometry

Lattice parameters (Å, degrees): 7.2654 7.2654 7.2654 131.89 131.89 70.41
Sites, in units of the cell vectors:
Dy1 0.0044 0.5044 0.5000
Dy2 0.2453 0.2453 0.0000
Dy3 0.4956 0.9956 0.5000
Dy4 0.7547 0.7547 0.0000
Sn1 0.7500 0.2500 0.5000
Ge1 0.0000 0.0000 0.0000
Se1 0.2500 0.7500 0.5000
Se2 0.5000 0.5000 0.0000

Calculated values
total magnetization = 0.00 μB per cell
energy relative to the elements, uncorrected = -1.32 eV per atom